! Cd4In5Pb2 PBE optimized geometry; values from VASP
! **DOS(E_F)**: 4.66 states/eV/f.u.
! **E_form**: 81 meV per atom
! **Total magnetization**: 0.00 Bohr magnetons per cell
&SYSTEM
  ibrav = 0, nat = 11, ntyp = 3
/
ATOMIC_SPECIES
Cd 112.41 Cd.upf
In 114.82 In.upf
Pb 207.20 Pb.upf
CELL_PARAMETERS angstrom
11.7278 -1.6232 0.0000
11.7278 1.6232 0.0000
-0.1572 0.0000 8.0919
ATOMIC_POSITIONS angstrom
Cd 0.1296 0.0000 1.4470
Cd 9.2670 0.0000 2.0757
Cd 14.0315 0.0000 6.0162
Cd 23.1689 0.0000 6.6448
In 2.9775 0.0000 0.5618
In 3.6801 0.0000 3.7458
In 11.6492 0.0000 4.0459
In 19.6184 0.0000 4.3461
In 20.3209 0.0000 7.5300
Pb 6.0983 0.0000 1.5865
Pb 17.2002 0.0000 6.5054